Entry 1:
# CrSnWO2, relaxed, DFT PBE with a Hubbard U
# - N(E_F) (states/eV per cell) = 4.81
# - SG = P4/mmm, No. 123
data_CrSnWO2
_chemical_formula_sum 'Cr1 Sn1 W1 O2'
_cell_length_a 4.077
_cell_length_b 4.077
_cell_length_c 5.475
_cell_angle_alpha 90.00
_cell_angle_beta 90.00
_cell_angle_gamma 90.00
_symmetry_space_group_name_H-M 'P 1'
_symmetry_Int_Tables_number 1
_symmetry_space_group_name_Hall 'P 1'
loop_
_atom_site_label
_atom_site_type_symbol
_atom_site_fract_x
_atom_site_fract_y
_atom_site_fract_z
Cr1 Cr 0.000 0.000 0.000
Sn1 Sn 0.000 0.000 0.500
W1 W 0.500 0.500 0.000
O1 O 0.000 0.500 0.500
O2 O 0.500 0.000 0.500


Entry 2:
# YCr2SnO6, relaxed, DFT PBE with a Hubbard U
# - SG = P1, No. 1
data_YCr2SnO6
_chemical_formula_sum 'Y1 Cr2 Sn1 O6'
_cell_length_a 5.338
_cell_length_b 5.426
_cell_length_c 5.710
_cell_angle_alpha 63.41
_cell_angle_beta 89.90
_cell_angle_gamma 60.89
_symmetry_space_group_name_H-M 'P 1'
_symmetry_Int_Tables_number 1
_symmetry_space_group_name_Hall 'P 1'
loop_
_atom_site_label
_atom_site_type_symbol
_atom_site_fract_x
_atom_site_fract_y
_atom_site_fract_z
Y1 Y 0.000 0.000 0.000
Cr1 Cr 0.216 0.572 0.626
Cr2 Cr 0.722 0.549 0.158
Sn1 Sn 0.521 0.964 0.544
O1 O 0.144 0.027 0.367
O2 O 0.323 0.109 0.817
O3 O 0.432 0.443 0.360
O4 O 0.578 0.493 0.840
O5 O 0.824 0.751 0.358
O6 O 0.928 0.728 0.840


Entry 3:
# ZnCr2SnO6, relaxed, DFT PBE with a Hubbard U
# - N(E_F) (states/eV per cell) = 0.00
# - SG = R3, No. 146
data_ZnCr2SnO6
_chemical_formula_sum 'Zn1 Cr2 Sn1 O6'
_cell_length_a 5.551
_cell_length_b 5.551
_cell_length_c 5.551
_cell_angle_alpha 56.14
_cell_angle_beta 56.14
_cell_angle_gamma 56.14
_symmetry_space_group_name_H-M 'P 1'
_symmetry_Int_Tables_number 1
_symmetry_space_group_name_Hall 'P 1'
loop_
_atom_site_label
_atom_site_type_symbol
_atom_site_fract_x
_atom_site_fract_y
_atom_site_fract_z
Zn1 Zn 0.000 0.000 0.000
Cr1 Cr 0.283 0.283 0.283
Cr2 Cr 0.785 0.785 0.785
Sn1 Sn 0.488 0.488 0.488
O1 O 0.072 0.403 0.667
O2 O 0.174 0.896 0.567
O3 O 0.403 0.667 0.072
O4 O 0.567 0.174 0.896
O5 O 0.667 0.072 0.403
O6 O 0.896 0.567 0.174


Entry 4:
# ZrCrSnO6, relaxed, DFT PBE with a Hubbard U
# - SG = P4_2nm, No. 102
data_ZrCrSnO6
_chemical_formula_sum 'Zr2 Cr2 Sn2 O12'
_cell_length_a 4.757
_cell_length_b 4.757
_cell_length_c 9.528
_cell_angle_alpha 90.00
_cell_angle_beta 90.00
_cell_angle_gamma 90.00
_symmetry_space_group_name_H-M 'P 1'
_symmetry_Int_Tables_number 1
_symmetry_space_group_name_Hall 'P 1'
loop_
_atom_site_label
_atom_site_type_symbol
_atom_site_fract_x
_atom_site_fract_y
_atom_site_fract_z
Zr1 Zr 0.000 0.000 0.000
Zr2 Zr 0.500 0.500 0.500
Cr1 Cr 0.000 0.000 0.330
Cr2 Cr 0.500 0.500 0.830
Sn1 Sn 0.000 0.000 0.663
Sn2 Sn 0.500 0.500 0.163
O1 O 0.188 0.188 0.488
O2 O 0.192 0.192 0.172
O3 O 0.211 0.211 0.829
O4 O 0.289 0.711 0.329
O5 O 0.308 0.692 0.672
O6 O 0.312 0.688 0.988
O7 O 0.688 0.312 0.988
O8 O 0.692 0.308 0.672
O9 O 0.711 0.289 0.329
O10 O 0.789 0.789 0.829
O11 O 0.808 0.808 0.172
O12 O 0.812 0.812 0.488


Entry 5:
# Sr3Cr2O8, relaxed, DFT PBE with a Hubbard U
# - SG = P1, No. 1
data_Sr3Cr2O8
_chemical_formula_sum 'Sr3 Cr2 O8'
_cell_length_a 5.659
_cell_length_b 5.668
_cell_length_c 7.508
_cell_angle_alpha 67.99
_cell_angle_beta 68.12
_cell_angle_gamma 60.17
_symmetry_space_group_name_H-M 'P 1'
_symmetry_Int_Tables_number 1
_symmetry_space_group_name_Hall 'P 1'
loop_
_atom_site_label
_atom_site_type_symbol
_atom_site_fract_x
_atom_site_fract_y
_atom_site_fract_z
Sr1 Sr 0.000 0.000 0.000
Sr2 Sr 0.163 0.203 0.393
Sr3 Sr 0.758 0.799 0.609
Cr1 Cr 0.366 0.406 0.783
Cr2 Cr 0.552 0.595 0.218
O1 O 0.192 0.766 0.700
O2 O 0.194 0.692 0.313
O3 O 0.236 0.322 0.031
O4 O 0.277 0.234 0.686
O5 O 0.587 0.687 0.970
O6 O 0.661 0.769 0.296
O7 O 0.723 0.308 0.703
O8 O 0.726 0.238 0.306


Entry 6:
# Sr9Cr5O18, relaxed, DFT PBE with a Hubbard U
# - SG = Cmc2_1, No. 36
data_Sr9Cr5O18
_chemical_formula_sum 'Sr18 Cr10 O36'
_cell_length_a 15.456
_cell_length_b 15.456
_cell_length_c 10.942
_cell_angle_alpha 90.00
_cell_angle_beta 90.00
_cell_angle_gamma 20.36
_symmetry_space_group_name_H-M 'P 1'
_symmetry_Int_Tables_number 1
_symmetry_space_group_name_Hall 'P 1'
loop_
_atom_site_label
_atom_site_type_symbol
_atom_site_fract_x
_atom_site_fract_y
_atom_site_fract_z
Sr1 Sr 0.001 0.999 0.747
Sr2 Sr 0.077 0.090 0.000
Sr3 Sr 0.090 0.077 0.500
Sr4 Sr 0.204 0.206 0.999
Sr5 Sr 0.206 0.204 0.499
Sr6 Sr 0.293 0.294 0.749
Sr7 Sr 0.294 0.293 0.249
Sr8 Sr 0.415 0.416 0.746
Sr9 Sr 0.416 0.415 0.246
Sr10 Sr 0.584 0.585 0.746
Sr11 Sr 0.585 0.584 0.246
Sr12 Sr 0.706 0.707 0.749
Sr13 Sr 0.707 0.706 0.249
Sr14 Sr 0.794 0.796 0.999
Sr15 Sr 0.796 0.794 0.499
Sr16 Sr 0.910 0.923 0.000
Sr17 Sr 0.923 0.910 0.500
Sr18 Sr 0.999 0.001 0.247
Cr1 Cr 0.145 0.146 0.749
Cr2 Cr 0.146 0.145 0.249
Cr3 Cr 0.348 0.350 0.999
Cr4 Cr 0.350 0.348 0.499
Cr5 Cr 0.437 0.563 0.966
Cr6 Cr 0.563 0.437 0.466
Cr7 Cr 0.650 0.652 0.999
Cr8 Cr 0.652 0.650 0.499
Cr9 Cr 0.854 0.855 0.749
Cr10 Cr 0.855 0.854 0.249
O1 O 0.073 0.082 0.747
O2 O 0.082 0.073 0.247
O3 O 0.103 0.897 0.987
O4 O 0.115 0.597 0.620
O5 O 0.115 0.599 0.119
O6 O 0.117 0.598 0.378
O7 O 0.117 0.601 0.879
O8 O 0.212 0.213 0.250
O9 O 0.213 0.212 0.750
O10 O 0.284 0.290 0.998
O11 O 0.290 0.284 0.498
O12 O 0.399 0.883 0.879
O13 O 0.401 0.885 0.119
O14 O 0.402 0.883 0.378
O15 O 0.403 0.885 0.620
O16 O 0.406 0.488 0.520
O17 O 0.482 0.518 0.800
O18 O 0.488 0.406 0.020
O19 O 0.512 0.594 0.520
O20 O 0.518 0.482 0.300
O21 O 0.594 0.512 0.020
O22 O 0.597 0.115 0.120
O23 O 0.598 0.117 0.878
O24 O 0.599 0.115 0.619
O25 O 0.601 0.117 0.379
O26 O 0.710 0.716 0.998
O27 O 0.716 0.710 0.498
O28 O 0.787 0.788 0.250
O29 O 0.788 0.787 0.750
O30 O 0.883 0.399 0.379
O31 O 0.883 0.402 0.878
O32 O 0.885 0.401 0.619
O33 O 0.885 0.403 0.120
O34 O 0.897 0.103 0.487
O35 O 0.918 0.927 0.747
O36 O 0.927 0.918 0.247


Entry 7:
# SrCrO3, relaxed, DFT PBE with a Hubbard U
# - N(E_F) (states/eV per cell) = 4.91
# - SG = P6_3/mmc, No. 194
data_SrCrO3
_chemical_formula_sum 'Sr4 Cr4 O12'
_cell_length_a 5.542
_cell_length_b 5.542
_cell_length_c 9.325
_cell_angle_alpha 90.00
_cell_angle_beta 90.00
_cell_angle_gamma 120.00
_symmetry_space_group_name_H-M 'P 1'
_symmetry_Int_Tables_number 1
_symmetry_space_group_name_Hall 'P 1'
loop_
_atom_site_label
_atom_site_type_symbol
_atom_site_fract_x
_atom_site_fract_y
_atom_site_fract_z
Sr1 Sr 0.000 0.000 0.000
Sr2 Sr 0.000 0.000 0.500
Sr3 Sr 0.333 0.667 0.250
Sr4 Sr 0.667 0.333 0.750
Cr1 Cr 0.333 0.667 0.613
Cr2 Cr 0.333 0.667 0.887
Cr3 Cr 0.667 0.333 0.113
Cr4 Cr 0.667 0.333 0.387
O1 O 0.000 0.500 0.000
O2 O 0.000 0.500 0.500
O3 O 0.179 0.359 0.750
O4 O 0.179 0.821 0.750
O5 O 0.359 0.179 0.250
O6 O 0.500 0.000 0.000
O7 O 0.500 0.000 0.500
O8 O 0.500 0.500 0.000
O9 O 0.500 0.500 0.500
O10 O 0.641 0.821 0.750
O11 O 0.821 0.179 0.250
O12 O 0.821 0.641 0.250


Entry 8:
# SrCrO3, relaxed, DFT PBE with a Hubbard U
# - N(E_F) (states/eV per cell) = 5.23
# - SG = Pm-3m, No. 221
data_SrCrO3
_chemical_formula_sum 'Sr1 Cr1 O3'
_cell_length_a 3.847
_cell_length_b 3.847
_cell_length_c 3.847
_cell_angle_alpha 90.00
_cell_angle_beta 90.00
_cell_angle_gamma 90.00
_symmetry_space_group_name_H-M 'P 1'
_symmetry_Int_Tables_number 1
_symmetry_space_group_name_Hall 'P 1'
loop_
_atom_site_label
_atom_site_type_symbol
_atom_site_fract_x
_atom_site_fract_y
_atom_site_fract_z
Sr1 Sr 0.000 0.000 0.000
Cr1 Cr 0.500 0.500 0.500
O1 O 0.000 0.500 0.500
O2 O 0.500 0.000 0.500
O3 O 0.500 0.500 0.000


Number 1: VASP energy -4.65 eV per atom. Number 2: VASP energy -7.68 eV per atom. Number 3: VASP energy -6.72 eV per atom. Number 4: VASP energy -7.65 eV per atom. Number 5: VASP energy -6.81 eV per atom. Number 6: VASP energy -6.84 eV per atom. Number 7: VASP energy -6.97 eV per atom. Number 8: VASP energy -6.95 eV per atom.